[1]
DFT (PBE) results for an optimized crystal structure of AlIr5.

Computed properties:
Symmetry ... No. 216
E above lowest polymorph ... 711 meV/atom
Calculated volume ... 15.9 A^3/atom
Formation energy from the elements ... 0.476 eV/atom

POSCAR file:
```
AlIr5
1.0
0.741 -3.636 3.544
-3.486 -3.712 0.635
1.078 -4.806 -1.441
Ir Al
5 1
direct
0.375 0.874 0.375
0.750 0.750 0.750
0.375 0.375 0.375
0.874 0.375 0.375
0.375 0.375 0.874
0.000 0.000 0.000
```

***

[2]
DFT (PBE) results for an optimized crystal structure of AlIr.

Computed properties:
Symmetry ... No. 194
Calculated volume ... 19.1 A^3/atom
Formation energy from the elements ... 0.009 eV/atom

POSCAR file:
```
AlIr
1.0
4.230 0.000 0.000
-2.115 3.663 0.000
0.000 0.000 4.928
Ir Al
2 2
direct
0.333 0.667 0.435
0.667 0.333 0.935
0.333 0.667 0.936
0.667 0.333 0.436
```

***

[3]
DFT (PBE) results for an optimized crystal structure of AlIr2.

Computed properties:
Symmetry ... No. 225
Calculated volume ... 15.9 A^3/atom
Formation energy from the elements ... -0.138 eV/atom

POSCAR file:
```
AlIr2
1.0
-3.207 -1.927 1.609
0.094 -4.041 0.502
0.244 -1.582 3.745
Al Ir
1 2
direct
0.000 0.000 0.000
0.750 0.750 0.750
0.250 0.250 0.250
```

***

[4]
DFT (PBE) results for an optimized crystal structure of AlIr.

Computed properties:
Symmetry ... No. 12
Calculated volume ... 14.2 A^3/atom
Formation energy from the elements ... -0.774 eV/atom

POSCAR file:
```
AlIr
1.0
4.874 -0.004 -0.001
3.657 4.207 0.000
0.865 0.249 2.760
Ir Al
2 2
direct
0.400 0.093 0.253
0.516 0.491 0.497
0.026 0.984 0.995
0.891 0.599 0.755
```